1.
U2Co12P3Rh: optimized geometry, PBE.

Cell: 8.0954 8.0954 12.1798 Å, 90.00 90.00 120.00°
Space group R-3m (No. 166, hexagonal axes)
Inequivalent atoms, fractional coordinates:
U  0.0000  0.0000  0.1331 x6
Co  0.0180  0.5090  0.3798 x18
Co  0.0229  0.5115  0.8211 x18
P  0.0000  0.5000  0.0000 x9
Rh  0.0000  0.0000  0.5000 x3

Energy, eV per atom: -7.3572
D(E_F), states/eV/f.u.: 19.98
Magnetization, μB per formula unit: 3.363
ΔE_f, meV per atom: -56

2.
CoP2Ru: optimized geometry, PBE.

Cell: 3.9201 2.8517 4.7993 Å, 90.00 113.63 90.00°
Space group P2/m (No. 10)
Inequivalent atoms, fractional coordinates:
Co  0.0000  0.0000  0.0000 x1
P  0.0000  0.0000  0.5000 x1
P  0.5000  0.5000  0.0000 x1
Ru  0.5000  0.5000  0.5000 x1

Energy, eV per atom: -7.0143
D(E_F), states/eV/f.u.: 2.31
Magnetization, μB per formula unit: 0.000
ΔE to the lowest computed polymorph, kJ/mol of atoms: 13.0
ΔE_f, meV per atom: -214

Please write out number 2 again, unchanged.
CoP2Ru: optimized geometry, PBE.

Cell: 3.9201 2.8517 4.7993 Å, 90.00 113.63 90.00°
Space group P2/m (No. 10)
Inequivalent atoms, fractional coordinates:
Co  0.0000  0.0000  0.0000 x1
P  0.0000  0.0000  0.5000 x1
P  0.5000  0.5000  0.0000 x1
Ru  0.5000  0.5000  0.5000 x1

Energy, eV per atom: -7.0143
D(E_F), states/eV/f.u.: 2.31
Magnetization, μB per formula unit: 0.000
ΔE to the lowest computed polymorph, kJ/mol of atoms: 13.0
ΔE_f, meV per atom: -214